{"formula": "Rb2NaSmF6", "functional": "PBEsol", "state": "optimized geometry", "dos_at_fermi_per_ev_atom": 0.00, "dft_energy_ev_per_atom": -5.293, "raw_formation_energy_mev_per_atom": -3283, "m_tot_mub_per_fu": 0.00, "lattice": [[0.000, 4.468, 4.468], [4.468, 0.000, 4.468], [4.468, 4.468, 0.000]], "species": ["Rb", "Rb", "Na", "Sm", "F", "F", "F", "F", "F", "F"], "frac_coords": [[0.250, 0.250, 0.250], [0.750, 0.750, 0.750], [0.000, 0.000, 0.000], [0.500, 0.500, 0.500], [0.252, 0.252, 0.748], [0.252, 0.748, 0.252], [0.252, 0.748, 0.748], [0.748, 0.252, 0.252], [0.748, 0.252, 0.748], [0.748, 0.748, 0.252]]}


{"formula": "LaZn3Br", "functional": "PBEsol", "state": "optimized geometry", "dos_at_fermi_per_ev_atom": 0.92, "dft_energy_ev_per_atom": -1.896, "raw_formation_energy_mev_per_atom": 496, "m_tot_mub_per_fu": 0.00, "lattice": [[5.040, 0.000, 0.000], [0.000, 5.040, 0.000], [0.000, 0.000, 5.040]], "species": ["La", "Zn", "Zn", "Zn", "Br"], "frac_coords": [[0.000, 0.000, 0.000], [0.000, 0.500, 0.500], [0.500, 0.000, 0.500], [0.500, 0.500, 0.000], [0.500, 0.500, 0.500]]}


{"formula": "Tm2ZnS4", "functional": "PBEsol", "state": "optimized geometry", "dos_at_fermi_per_ev_atom": 0.00, "dft_energy_ev_per_atom": -5.847, "raw_formation_energy_mev_per_atom": -1716, "m_tot_mub_per_fu": 0.00, "lattice": [[13.193, 0.000, 0.000], [0.000, 7.689, 0.000], [0.000, 0.000, 6.202]], "species": ["Tm", "Tm", "Tm", "Tm", "Tm", "Tm", "Tm", "Tm", "Zn", "Zn", "Zn", "Zn", "S", "S", "S", "S", "S", "S", "S", "S", "S", "S", "S", "S", "S", "S", "S", "S"], "frac_coords": [[0.000, 0.000, 0.000], [0.000, 0.500, 0.000], [0.235, 0.250, 0.496], [0.265, 0.750, 0.996], [0.500, 0.000, 0.500], [0.500, 0.500, 0.500], [0.735, 0.250, 0.004], [0.765, 0.750, 0.504], [0.092, 0.750, 0.408], [0.408, 0.250, 0.908], [0.592, 0.750, 0.092], [0.908, 0.250, 0.592], [0.072, 0.250, 0.745], [0.090, 0.750, 0.774], [0.169, 0.511, 0.242], [0.169, 0.989, 0.242], [0.331, 0.011, 0.742], [0.331, 0.489, 0.742], [0.410, 0.250, 0.274], [0.428, 0.750, 0.245], [0.572, 0.250, 0.755], [0.590, 0.750, 0.726], [0.669, 0.511, 0.258], [0.669, 0.989, 0.258], [0.831, 0.011, 0.758], [0.831, 0.489, 0.758], [0.910, 0.250, 0.226], [0.928, 0.750, 0.255]]}


{"formula": "AlFe2Ge", "functional": "PBEsol", "state": "optimized geometry", "ef_ev_per_atom": -0.285, "dos_at_fermi_per_ev_atom": 1.03, "dft_energy_ev_per_atom": -7.024, "m_tot_mub_per_fu": 0.04, "lattice": [[5.647, 0.000, 0.000], [0.000, 5.647, 0.000], [0.000, 0.000, 5.647]], "species": ["Al", "Al", "Al", "Al", "Fe", "Fe", "Fe", "Fe", "Fe", "Fe", "Fe", "Fe", "Ge", "Ge", "Ge", "Ge"], "frac_coords": [[0.000, 0.000, 0.000], [0.000, 0.500, 0.500], [0.500, 0.000, 0.500], [0.500, 0.500, 0.000], [0.250, 0.250, 0.250], [0.250, 0.250, 0.750], [0.250, 0.750, 0.250], [0.250, 0.750, 0.750], [0.750, 0.250, 0.250], [0.750, 0.250, 0.750], [0.750, 0.750, 0.250], [0.750, 0.750, 0.750], [0.000, 0.000, 0.500], [0.000, 0.500, 0.000], [0.500, 0.000, 0.000], [0.500, 0.500, 0.500]]}


{"formula": "SrNbB2Os", "functional": "PBEsol", "state": "optimized geometry", "ef_ev_per_atom": 1.188, "dos_at_fermi_per_ev_atom": 0.90, "dft_energy_ev_per_atom": -6.595, "m_tot_mub_per_fu": 0.41, "lattice": [[4.447, 0.000, 0.000], [0.000, 4.447, 0.000], [0.000, 0.000, 4.812]], "species": ["Sr", "Nb", "B", "B", "Os"], "frac_coords": [[0.000, 0.000, 0.000], [0.500, 0.500, 0.500], [0.000, 0.500, 0.500], [0.500, 0.000, 0.500], [0.500, 0.500, 0.000]]}


{"formula": "CrFe3", "functional": "PBEsol", "state": "optimized geometry", "ef_ev_per_atom": 0.071, "dos_at_fermi_per_ev_atom": 0.92, "dft_energy_ev_per_atom": -9.212, "m_tot_mub_per_fu": 5.39, "lattice": [[2.843, 0.000, 0.000], [0.000, 3.890, 0.000], [0.000, 0.000, 7.846]], "species": ["Cr", "Cr", "Fe", "Fe", "Fe", "Fe", "Fe", "Fe"], "frac_coords": [[0.000, 0.000, 0.000], [0.500, 0.500, 0.500], [0.000, 0.000, 0.500], [0.000, 0.500, 0.251], [0.000, 0.500, 0.749], [0.500, 0.000, 0.249], [0.500, 0.000, 0.751], [0.500, 0.500, 0.000]]}


{"formula": "LiIrF2", "functional": "PBEsol", "state": "optimized geometry", "dos_at_fermi_per_ev_atom": 0.52, "dft_energy_ev_per_atom": -4.336, "e_above_lowest_polymorph_mev_per_atom": 1354, "raw_formation_energy_mev_per_atom": -424, "m_tot_mub_per_fu": 2.24, "lattice": [[5.673, 0.000, 0.000], [0.000, 5.673, 0.000], [0.000, 0.000, 5.673]], "species": ["Li", "Li", "Li", "Li", "Ir", "Ir", "Ir", "Ir", "F", "F", "F", "F", "F", "F", "F", "F"], "frac_coords": [[0.000, 0.000, 0.000], [0.000, 0.500, 0.500], [0.500, 0.000, 0.500], [0.500, 0.500, 0.000], [0.000, 0.000, 0.500], [0.000, 0.500, 0.000], [0.500, 0.000, 0.000], [0.500, 0.500, 0.500], [0.250, 0.250, 0.250], [0.250, 0.250, 0.750], [0.250, 0.750, 0.250], [0.250, 0.750, 0.750], [0.750, 0.250, 0.250], [0.750, 0.250, 0.750], [0.750, 0.750, 0.250], [0.750, 0.750, 0.750]]}


{"formula": "PIrO3", "functional": "PBEsol", "state": "optimized geometry", "dos_at_fermi_per_ev_atom": 0.79, "dft_energy_ev_per_atom": -6.088, "raw_formation_energy_mev_per_atom": 185, "m_tot_mub_per_fu": 0.21, "lattice": [[3.858, 0.000, 0.000], [0.000, 3.858, 0.000], [0.000, 0.000, 3.858]], "species": ["P", "Ir", "O", "O", "O"], "frac_coords": [[0.000, 0.000, 0.000], [0.500, 0.500, 0.500], [0.000, 0.500, 0.500], [0.500, 0.000, 0.500], [0.500, 0.500, 0.000]]}


{"formula": "RbSb2MoI", "functional": "PBEsol", "state": "optimized geometry", "dos_at_fermi_per_ev_atom": 0.68, "dft_energy_ev_per_atom": -4.726, "raw_formation_energy_mev_per_atom": 9, "m_tot_mub_per_fu": 0.34, "lattice": [[5.155, 0.000, 0.000], [0.000, 5.155, 0.000], [0.000, 0.000, 6.171]], "species": ["Rb", "Sb", "Sb", "Mo", "I"], "frac_coords": [[0.000, 0.000, 0.000], [0.000, 0.500, 0.500], [0.500, 0.000, 0.500], [0.500, 0.500, 0.500], [0.500, 0.500, 0.000]]}


{"formula": "Zn7Re", "functional": "PBEsol", "state": "optimized geometry", "ef_ev_per_atom": 0.020, "dos_at_fermi_per_ev_atom": 0.14, "dft_energy_ev_per_atom": -3.031, "m_tot_mub_per_fu": 0.00, "lattice": [[0.000, 3.806, 3.806], [3.806, 0.000, 3.806], [3.806, 3.806, 0.000]], "species": ["Zn", "Zn", "Zn", "Zn", "Zn", "Zn", "Zn", "Re"], "frac_coords": [[0.000, 0.000, 0.000], [0.000, 0.000, 0.500], [0.000, 0.500, 0.000], [0.000, 0.500, 0.500], [0.500, 0.000, 0.000], [0.500, 0.000, 0.500], [0.500, 0.500, 0.000], [0.500, 0.500, 0.500]]}


{"formula": "KSbPCO7", "functional": "PBEsol", "state": "optimized geometry", "dos_at_fermi_per_ev_atom": 0.21, "dft_energy_ev_per_atom": -6.977, "raw_formation_energy_mev_per_atom": -1716, "m_tot_mub_per_fu": 0.00, "lattice": [[5.065, 0.000, 0.000], [0.000, 6.597, 0.000], [-2.134, 0.000, 9.566]], "species": ["K", "K", "Sb", "Sb", "P", "P", "C", "C", "O", "O", "O", "O", "O", "O", "O", "O", "O", "O", "O", "O", "O", "O"], "frac_coords": [[0.063, 0.000, 0.150], [0.937, 0.500, 0.850], [0.276, 0.916, 0.652], [0.724, 0.416, 0.348], [0.317, 0.414, 0.574], [0.683, 0.914, 0.426], [0.447, 0.910, 0.918], [0.553, 0.410, 0.082], [0.144, 0.411, 0.422], [0.186, 0.909, 0.850], [0.246, 0.598, 0.657], [0.248, 0.233, 0.661], [0.383, 0.916, 0.435], [0.385, 0.402, 0.168], [0.481, 0.419, 0.953], [0.519, 0.919, 0.047], [0.615, 0.902, 0.832], [0.617, 0.416, 0.565], [0.752, 0.733, 0.339], [0.754, 0.098, 0.343], [0.814, 0.409, 0.150], [0.856, 0.911, 0.578]]}


{"formula": "FeCo4", "functional": "PBEsol", "state": "optimized geometry", "ef_ev_per_atom": 0.066, "dos_at_fermi_per_ev_atom": 1.01, "dft_energy_ev_per_atom": -7.916, "e_above_lowest_polymorph_mev_per_atom": 2, "m_tot_mub_per_fu": 9.11, "lattice": [[11.327, 0.000, 0.000], [0.000, 3.958, 0.000], [-0.464, 0.000, 2.366]], "species": ["Fe", "Fe", "Co", "Co", "Co", "Co", "Co", "Co", "Co", "Co"], "frac_coords": [[0.000, 0.000, 0.000], [0.500, 0.500, 0.000], [0.104, 0.500, 0.400], [0.200, 0.000, 0.888], [0.300, 0.500, 0.112], [0.396, 0.000, 0.600], [0.604, 0.000, 0.400], [0.700, 0.500, 0.888], [0.800, 0.000, 0.112], [0.896, 0.500, 0.600]]}


{"formula": "CaAsRuSe2", "functional": "PBEsol", "state": "optimized geometry", "dos_at_fermi_per_ev_atom": 1.42, "dft_energy_ev_per_atom": -3.803, "raw_formation_energy_mev_per_atom": 1219, "m_tot_mub_per_fu": 2.62, "lattice": [[5.166, 0.000, 0.000], [0.000, 5.166, 0.000], [0.000, 0.000, 5.183]], "species": ["Ca", "As", "Ru", "Se", "Se"], "frac_coords": [[0.000, 0.000, 0.000], [0.000, 0.000, 0.500], [0.500, 0.500, 0.500], [0.000, 0.500, 0.000], [0.500, 0.000, 0.000]]}


{"formula": "CaZn3", "functional": "PBEsol", "state": "optimized geometry", "ef_ev_per_atom": -0.181, "dos_at_fermi_per_ev_atom": 0.42, "dft_energy_ev_per_atom": -1.901, "m_tot_mub_per_fu": 0.00, "lattice": [[6.370, 0.000, 0.000], [-3.185, 5.517, 0.000], [0.000, 0.000, 4.333]], "species": ["Ca", "Ca", "Zn", "Zn", "Zn", "Zn", "Zn", "Zn"], "frac_coords": [[0.333, 0.667, 0.250], [0.667, 0.333, 0.750], [0.141, 0.281, 0.750], [0.141, 0.859, 0.750], [0.281, 0.141, 0.250], [0.719, 0.859, 0.750], [0.859, 0.141, 0.250], [0.859, 0.719, 0.250]]}


{"formula": "Cs2NaFeF6", "functional": "PBEsol", "state": "optimized geometry", "dos_at_fermi_per_ev_atom": 0.66, "dft_energy_ev_per_atom": -4.958, "e_above_lowest_polymorph_mev_per_atom": 0, "raw_formation_energy_mev_per_atom": -2576, "m_tot_mub_per_fu": 3.00, "lattice": [[3.095, 1.787, 10.106], [-3.095, 1.787, 10.106], [0.000, -3.574, 10.106]], "species": ["Cs", "Cs", "Cs", "Cs", "Na", "Na", "Fe", "Fe", "F", "F", "F", "F", "F", "F", "F", "F", "F", "F", "F", "F"], "frac_coords": [[0.128, 0.128, 0.128], [0.284, 0.284, 0.284], [0.716, 0.716, 0.716], [0.872, 0.872, 0.872], [0.405, 0.405, 0.405], [0.595, 0.595, 0.595], [0.000, 0.000, 0.000], [0.500, 0.500, 0.500], [0.183, 0.604, 0.604], [0.187, 0.187, 0.736], [0.187, 0.736, 0.187], [0.264, 0.813, 0.813], [0.396, 0.396, 0.817], [0.396, 0.817, 0.396], [0.604, 0.183, 0.604], [0.604, 0.604, 0.183], [0.736, 0.187, 0.187], [0.813, 0.264, 0.813], [0.813, 0.813, 0.264], [0.817, 0.396, 0.396]]}


{"formula": "YTa7O19", "functional": "PBEsol", "state": "optimized geometry", "dos_at_fermi_per_ev_atom": 0.00, "dft_energy_ev_per_atom": -10.154, "raw_formation_energy_mev_per_atom": -2953, "m_tot_mub_per_fu": 0.00, "lattice": [[6.198, 0.000, 0.000], [-3.099, 5.368, 0.000], [0.000, 0.000, 19.918]], "species": ["Y", "Y", "Ta", "Ta", "Ta", "Ta", "Ta", "Ta", "Ta", "Ta", "Ta", "Ta", "Ta", "Ta", "Ta", "Ta", "O", "O", "O", "O", "O", "O", "O", "O", "O", "O", "O", "O", "O", "O", "O", "O", "O", "O", "O", "O", "O", "O", "O", "O", "O", "O", "O", "O", "O", "O", "O", "O", "O", "O", "O", "O", "O", "O"], "frac_coords": [[0.000, 0.000, 0.000], [0.000, 0.000, 0.500], [0.333, 0.029, 0.156], [0.333, 0.029, 0.344], [0.333, 0.304, 0.656], [0.333, 0.304, 0.844], [0.667, 0.333, 0.000], [0.667, 0.333, 0.500], [0.696, 0.029, 0.656], [0.696, 0.029, 0.844], [0.696, 0.667, 0.156], [0.696, 0.667, 0.344], [0.971, 0.304, 0.156], [0.971, 0.304, 0.344], [0.971, 0.667, 0.656], [0.971, 0.667, 0.844], [0.000, 0.000, 0.130], [0.000, 0.000, 0.370], [0.000, 0.000, 0.630], [0.000, 0.000, 0.870], [0.085, 0.419, 0.653], [0.085, 0.419, 0.847], [0.085, 0.666, 0.153], [0.085, 0.666, 0.347], [0.287, 0.044, 0.250], [0.287, 0.243, 0.750], [0.334, 0.419, 0.153], [0.334, 0.419, 0.347], [0.334, 0.915, 0.653], [0.334, 0.915, 0.847], [0.377, 0.097, 0.056], [0.377, 0.097, 0.444], [0.377, 0.280, 0.556], [0.377, 0.280, 0.944], [0.581, 0.666, 0.653], [0.581, 0.666, 0.847], [0.581, 0.915, 0.153], [0.581, 0.915, 0.347], [0.667, 0.333, 0.167], [0.667, 0.333, 0.333], [0.667, 0.333, 0.667], [0.667, 0.333, 0.833], [0.720, 0.097, 0.556], [0.720, 0.097, 0.944], [0.720, 0.623, 0.056], [0.720, 0.623, 0.444], [0.757, 0.044, 0.750], [0.757, 0.713, 0.250], [0.903, 0.280, 0.056], [0.903, 0.280, 0.444], [0.903, 0.623, 0.556], [0.903, 0.623, 0.944], [0.956, 0.243, 0.250], [0.956, 0.713, 0.750]]}


{"formula": "MgScHg", "functional": "PBEsol", "state": "optimized geometry", "ef_ev_per_atom": -0.312, "dos_at_fermi_per_ev_atom": 0.87, "dft_energy_ev_per_atom": -3.275, "m_tot_mub_per_fu": 0.00, "lattice": [[4.739, 0.000, 0.000], [-2.370, 4.104, 0.000], [0.000, 0.000, 3.258]], "species": ["Mg", "Sc", "Hg"], "frac_coords": [[0.000, 0.000, 0.000], [0.333, 0.667, 0.500], [0.667, 0.333, 0.000]]}


{"formula": "RhPb2Cl", "functional": "PBEsol", "state": "optimized geometry", "dos_at_fermi_per_ev_atom": 0.62, "dft_energy_ev_per_atom": -4.260, "raw_formation_energy_mev_per_atom": 276, "m_tot_mub_per_fu": 0.00, "lattice": [[7.033, 0.000, 0.000], [0.000, 7.033, 0.000], [0.000, 0.000, 7.033]], "species": ["Rh", "Rh", "Rh", "Rh", "Pb", "Pb", "Pb", "Pb", "Pb", "Pb", "Pb", "Pb", "Cl", "Cl", "Cl", "Cl"], "frac_coords": [[0.000, 0.000, 0.000], [0.000, 0.500, 0.500], [0.500, 0.000, 0.500], [0.500, 0.500, 0.000], [0.000, 0.000, 0.500], [0.000, 0.500, 0.000], [0.250, 0.250, 0.750], [0.250, 0.750, 0.250], [0.500, 0.000, 0.000], [0.500, 0.500, 0.500], [0.750, 0.250, 0.250], [0.750, 0.750, 0.750], [0.250, 0.250, 0.250], [0.250, 0.750, 0.750], [0.750, 0.250, 0.750], [0.750, 0.750, 0.250]]}


{"formula": "CaCu2", "functional": "PBEsol", "state": "optimized geometry", "ef_ev_per_atom": -0.088, "dos_at_fermi_per_ev_atom": 0.57, "dft_energy_ev_per_atom": -3.688, "m_tot_mub_per_fu": 0.00, "lattice": [[5.242, 0.000, 0.000], [-2.621, 4.540, 0.000], [0.000, 0.000, 8.383]], "species": ["Ca", "Ca", "Ca", "Ca", "Cu", "Cu", "Cu", "Cu", "Cu", "Cu", "Cu", "Cu"], "frac_coords": [[0.333, 0.667, 0.059], [0.333, 0.667, 0.441], [0.667, 0.333, 0.559], [0.667, 0.333, 0.941], [0.000, 0.000, 0.000], [0.000, 0.000, 0.500], [0.163, 0.326, 0.750], [0.163, 0.837, 0.750], [0.326, 0.163, 0.250], [0.674, 0.837, 0.750], [0.837, 0.163, 0.250], [0.837, 0.674, 0.250]]}


{"formula": "Tc2Au", "functional": "PBEsol", "state": "optimized geometry", "ef_ev_per_atom": 1.451, "dos_at_fermi_per_ev_atom": 1.54, "dft_energy_ev_per_atom": -7.368, "e_above_lowest_polymorph_mev_per_atom": 1348, "m_tot_mub_per_fu": 0.00, "lattice": [[4.581, 0.000, 0.000], [0.000, 4.581, 0.000], [0.000, 0.000, 2.612]], "species": ["Tc", "Tc", "Au"], "frac_coords": [[0.000, 0.500, 0.000], [0.500, 0.000, 0.000], [0.000, 0.000, 0.500]]}